[1]
Below is a crystal of TeRuI2Br relaxed with PBEsol, with properties calculated at the SCAN level.

Results
SG: P4/mmm (123)
formation energy from raw total energies: 1.3691 eV/atom
calculated volume: 178.26 Å³ per cell
final energy: -31.635 eV per atom

abc: 5.447 5.721 5.721
angles: 90.00 90.00 90.00
Fractional coordinates of all 5 atoms:
I: 0.000 0.000 0.500
I: 0.000 0.500 0.000
Ru: 0.500 0.500 0.500
Te: 0.500 0.000 0.000
Br: 0.000 0.000 0.000

***

[2]
Below is a crystal of TaSI2Br relaxed with PBEsol, with properties calculated at the SCAN level.

Results
SG: P4/mmm (123)
formation energy from raw total energies: 1.2568 eV/atom
calculated volume: 142.65 Å³ per cell
final energy: -32.574 eV per atom

abc: 4.901 5.395 5.395
angles: 90.00 90.00 90.00
Fractional coordinates of all 5 atoms:
I: 0.000 0.000 0.500
I: 0.000 0.500 0.000
S: 0.000 0.000 0.000
Br: 0.500 0.000 0.000
Ta: 0.500 0.500 0.500

***

[3]
Below is a crystal of WSI2Br relaxed with PBEsol, with properties calculated at the SCAN level.

Results
SG: P4/mmm (123)
formation energy from raw total energies: 0.2914 eV/atom
calculated volume: 132.95 Å³ per cell
final energy: -34.160 eV per atom

abc: 4.519 5.424 5.424
angles: 90.00 90.00 90.00
Fractional coordinates of all 5 atoms:
I: 0.000 0.000 0.500
I: 0.000 0.500 0.000
S: 0.500 0.000 0.000
Br: 0.500 0.500 0.500
W: 0.000 0.000 0.000

***

[4]
Below is a crystal of SrSb2IBr relaxed with PBEsol, with properties calculated at the SCAN level.

Results
SG: P4/mmm (123)
formation energy from raw total energies: -0.0117 eV/atom
calculated volume: 191.05 Å³ per cell
final energy: -30.611 eV per atom

abc: 5.286 5.286 6.838
angles: 90.00 90.00 90.00
Fractional coordinates of all 5 atoms:
I: 0.000 0.000 0.500
Sb: 0.000 0.500 0.000
Sb: 0.500 0.000 0.000
Br: 0.000 0.000 0.000
Sr: 0.500 0.500 0.500

***

[5]
Below is a crystal of TaSb2IBr relaxed with PBEsol, with properties calculated at the SCAN level.

Results
SG: P4/mmm (123)
formation energy from raw total energies: 1.7677 eV/atom
calculated volume: 154.12 Å³ per cell
final energy: -37.693 eV per atom

abc: 5.321 5.321 5.443
angles: 90.00 90.00 90.00
Fractional coordinates of all 5 atoms:
I: 0.000 0.000 0.500
Sb: 0.000 0.500 0.000
Sb: 0.500 0.000 0.000
Br: 0.000 0.000 0.000
Ta: 0.500 0.500 0.500

***

[6]
Below is a crystal of TaSb2IBr relaxed with PBEsol, with properties calculated at the SCAN level.

Results
SG: P4/mmm (123)
formation energy from raw total energies: 0.2630 eV/atom
calculated volume: 151.30 Å³ per cell
final energy: -39.198 eV per atom

abc: 5.326 5.326 5.334
angles: 90.00 90.00 90.00
Fractional coordinates of all 5 atoms:
I: 0.000 0.000 0.500
Sb: 0.000 0.500 0.000
Sb: 0.500 0.000 0.000
Br: 0.500 0.500 0.500
Ta: 0.000 0.000 0.000

***

> Among the records above, which one has the highest formation energy from raw total energies?

number 5

***

> final energy of number 1 (TeRuI2Br)?

-31.635 eV per atom

***

> Number 2 is which compound?

TaSI2Br